# MoP3Pd | the Alexandria database | PBE-GGA | relaxed
data_MoP3Pd
_chemical_formula_sum 'Mo1 P3 Pd1'
_cell_length_a 4.6505
_cell_length_b 4.6505
_cell_length_c 4.6505
_cell_angle_alpha 90.00
_cell_angle_beta 90.00
_cell_angle_gamma 90.00
_symmetry_space_group_name_H-M 'P m -3 m'
_symmetry_Int_Tables_number 221
_symmetry_space_group_name_Hall '-P 4 2 3'
loop_
_atom_site_label
_atom_site_fract_x
_atom_site_fract_y
_atom_site_fract_z
_atom_site_occupancy
Mo1 0.0000 0.0000 0.0000 1
P1 0.0000 0.0000 0.5000 1
Pd1 0.5000 0.5000 0.5000 1
# **DFT total energy**: -5.843 eV/atom
# **Theoretical density**: 4.88 g/cm³
# **Calculated formation energy**: 0.608 eV/atom
# **Energy above the most stable polymorph in this dataset**: 0.0 meV/atom